{
  "formula": "Li2AcCrO4",
  "functional": "GGA+U",
  "state": "optimized geometry",
  "cell": [[-2.692, 2.774, 3.443], [2.692, -2.774, 3.443], [2.692, 2.774, -3.443]],
  "species": ["Li", "Li", "Ac", "Cr", "O", "O", "O", "O"],
  "fractional_positions": [[0.249, 0.249, 0.000], [0.751, 0.751, 0.000], [0.500, 0.000, 0.500], [0.000, 0.500, 0.500], [0.066, 0.544, 0.916], [0.372, 0.456, 0.522], [0.628, 0.150, 0.084], [0.934, 0.850, 0.478]],
  "dft_energy_ev_per_cell": -53.09,
  "magmom_total_mub_per_atom": 0.38,
  "space_group": "No. 23"
}